(1)
## Ho2MgRu (PBE-GGA)

Data for a relaxed structure of Ho2MgRu.

a b c (Å): 3.4272 3.4272 8.0655
angles (deg): 90.00 90.00 90.00
Positions (direct):
Ho: 0.0000 0.0000 0.2031
Ho: 0.0000 0.0000 0.7969
Mg: 0.5000 0.5000 0.5000
Ru: 0.5000 0.5000 0.0000

Properties
- V (Å³ per atom) = 23.68
- calculated total energy (eV per atom) = -5.316
- calculated formation energy (eV/f.u.) = -1.238

***

(2)
## HoMgRu (PBE-GGA)

Data for a relaxed structure of HoMgRu.

a b c (Å): 4.6680 4.6680 6.2779
angles (deg): 90.00 90.00 90.00
Positions (direct):
Ho: 0.0000 0.5000 0.0000
Ho: 0.5000 0.0000 0.5000
Mg: 0.0000 0.5000 0.5000
Mg: 0.5000 0.0000 0.0000
Ru: 0.0000 0.0000 0.2500
Ru: 0.0000 0.0000 0.7500

Properties
- V (Å³ per atom) = 22.80
- calculated total energy (eV per atom) = -5.218
- calculated formation energy (eV/f.u.) = -0.204

***

(3)
## Ho2MgRu (PBE-GGA)

Data for a relaxed structure of Ho2MgRu.

a b c (Å): 4.9314 4.9314 3.6404
angles (deg): 90.00 90.00 90.00
Positions (direct):
Ho: 0.0000 0.5000 0.0000
Ho: 0.5000 0.0000 0.0000
Mg: 0.0000 0.0000 0.5000
Ru: 0.5000 0.5000 0.5000

Properties
- V (Å³ per atom) = 22.13
- calculated total energy (eV per atom) = -5.165
- calculated formation energy (eV/f.u.) = -0.634